First-principles (GGA-PBE) data for an optimized crystal structure of Li2TaRh, as listed in Alexandria via LeMat-Bulk.

Output
formation energy: -0.02 eV/atom
SG: Pmm2
total moment: 0.00 μB/cell
ρ: 7.638 g/cm3
energy above the lowest structure with this stoichiometry: 0.005 eV/atom

abc: 2.901 3.625 6.156
angles: 90.00 90.00 90.00
Positions (direct):
Li1 0.000 0.000 0.000
Li2 0.500 0.500 0.218
Ta1 0.500 0.500 0.683
Rh1 0.000 0.000 0.485